Computed, not measured: a geometry-optimized Hf3BeF structure at the PBE-GGA level of DFT.

Calculated values
relative energy among the computed polymorphs = 0 meV/atom
DOS at the Fermi energy = 4.6 states/eV/cell
total magnetization = 0.00 μB/f.u.
raw formation energy = -0.171 eV per atom
space group = Pm-3m, No. 221

Cell: 4.4179 4.4179 4.4179 Å, 90.00 90.00 90.00°
With the nearest neighbours (Å) after each atom.
Element x y z (fractional)
Hf  0.0000  0.0000  0.5000  2 F 2.21
Hf  0.0000  0.5000  0.0000  2 F 2.21
Hf  0.5000  0.0000  0.0000  2 F 2.21
Be  0.5000  0.5000  0.5000  12 Hf 3.12
F  0.0000  0.0000  0.0000  6 Hf 2.21